# Y2ScRuPb PBE optimized geometry
# Magnetization, μB per formula unit: 0.00
# ΔE_f, eV/atom: -0.2324
data_Y2ScRuPb
_cell_length_a 5.3441
_cell_length_b 5.3441
_cell_length_c 4.9637
_cell_angle_alpha 90.00
_cell_angle_beta 90.00
_cell_angle_gamma 90.00
_space_group_name_H-M_alt 'P 4/m m m'
_space_group_IT_number 123
_space_group_name_Hall '-P 4 2'
loop_
_atom_site_label
_atom_site_type_symbol
_atom_site_fract_x
_atom_site_fract_y
_atom_site_fract_z
_atom_site_occupancy
Y1 Y 0.0000 0.5000 0.0000 1
Sc1 Sc 0.0000 0.0000 0.5000 1
Ru1 Ru 0.0000 0.0000 0.0000 1
Pb1 Pb 0.5000 0.5000 0.5000 1